Entry 1:
## PmCo5B2 (PBE-GGA)

Data for a relaxed PmCo5B2 crystal.

Summary:
Its crystal system is orthorhombic. Its density is 8362 kg/m³. As for the magnetic moment: 3.641 μB per formula unit. The value obtained for the total energy is -6.9238 eV/atom. The value obtained for the density of states at the Fermi level is 10.0 states/eV/f.u.

Structure (CIF):
```
data_PmCo5B2
_chemical_formula_sum 'Pm2 Co10 B4'
_space_group_name_H-M_alt 'I m m m'
_space_group_IT_number 71
_space_group_name_Hall '-I 2 2'
_cell_length_a 3.428
_cell_length_b 6.246
_cell_length_c 8.558
_cell_angle_alpha 90.00
_cell_angle_beta 90.00
_cell_angle_gamma 90.00
loop_
_atom_site_label
_atom_site_type_symbol
_atom_site_fract_x
_atom_site_fract_y
_atom_site_fract_z
Pm1 Pm 0.000 0.000 0.000
Co1 Co 0.000 0.187 0.340
Co2 Co 0.000 0.500 0.000
B1 B 0.000 0.500 0.233
```


Entry 2:
## YEr2C2 (PBE-GGA)

Data for a relaxed YEr2C2 crystal.

Summary:
Its crystal system is monoclinic. Its density is 7510 kg/m³. As for the magnetic moment: 0.901 μB per formula unit. The value obtained for the total energy is -7.0626 eV/atom. The value obtained for the density of states at the Fermi level is 1.7 states/eV/f.u.

Structure (CIF):
```
data_YEr2C2
_chemical_formula_sum 'Y4 Er8 C8'
_space_group_name_H-M_alt 'C 1 2/m 1'
_space_group_IT_number 12
_space_group_name_Hall '-C 2y'
_cell_length_a 11.439
_cell_length_b 5.026
_cell_length_c 7.300
_cell_angle_alpha 90.00
_cell_angle_beta 109.45
_cell_angle_gamma 90.00
loop_
_atom_site_label
_atom_site_type_symbol
_atom_site_fract_x
_atom_site_fract_y
_atom_site_fract_z
Y1 Y 0.156 0.000 0.096
Er1 Er 0.007 0.500 0.726
Er2 Er 0.162 0.000 0.565
C1 C 0.003 0.000 0.762
C2 C 0.167 0.500 0.585
```


Entry 3:
## La2TiTcPd (PBE-GGA)

Data for a relaxed La2TiTcPd crystal.

Summary:
Its crystal system is tetragonal. Its density is 6272 kg/m³. As for the magnetic moment: 0.001 μB per formula unit. The value obtained for the total energy is -6.0356 eV/atom. The value obtained for the density of states at the Fermi level is 12.8 states/eV/f.u.

Structure (CIF):
```
data_La2TiTcPd
_chemical_formula_sum 'La2 Ti1 Tc1 Pd1'
_space_group_name_H-M_alt 'P 4/m m m'
_space_group_IT_number 123
_space_group_name_Hall '-P 4 2'
_cell_length_a 5.342
_cell_length_b 5.342
_cell_length_c 4.918
_cell_angle_alpha 90.00
_cell_angle_beta 90.00
_cell_angle_gamma 90.00
loop_
_atom_site_label
_atom_site_type_symbol
_atom_site_fract_x
_atom_site_fract_y
_atom_site_fract_z
La1 La 0.000 0.500 0.000
Ti1 Ti 0.000 0.000 0.500
Tc1 Tc 0.500 0.500 0.000
Pd1 Pd 0.500 0.500 0.500
```


Entry 4:
## YSb2 (PBE-GGA)

Data for a relaxed YSb2 crystal.

Summary:
Its crystal system is monoclinic. Its density is 6279 kg/m³. Its raw formation energy is -675.5 meV/atom. As for the magnetic moment: 0.000 μB per formula unit. The value obtained for the density of states at the Fermi level is 1.3 states/eV/f.u.

Structure (CIF):
```
data_YSb2
_chemical_formula_sum 'Y4 Sb8'
_space_group_name_H-M_alt 'C 1 2/m 1'
_space_group_IT_number 12
_space_group_name_Hall '-C 2y'
_cell_length_a 10.982
_cell_length_b 4.089
_cell_length_c 8.168
_cell_angle_alpha 90.00
_cell_angle_beta 106.51
_cell_angle_gamma 90.00
loop_
_atom_site_label
_atom_site_type_symbol
_atom_site_fract_x
_atom_site_fract_y
_atom_site_fract_z
Y1 Y 0.169 0.000 0.165
Sb1 Sb 0.053 0.500 0.850
Sb2 Sb 0.164 0.000 0.549
```


Entry 5:
## CePrZnN3 (PBE-GGA)

Data for a relaxed CePrZnN3 crystal.

Summary:
Its crystal system is monoclinic. Its density is 6768 kg/m³. Its raw formation energy is -883.4 meV/atom. As for the magnetic moment: 0.000 μB per formula unit.

Structure (CIF):
```
data_CePrZnN3
_chemical_formula_sum 'Ce2 Pr2 Zn2 N6'
_space_group_name_H-M_alt 'P 1 21/m 1'
_space_group_IT_number 11
_space_group_name_Hall '-P 2yb'
_cell_length_a 7.366
_cell_length_b 3.506
_cell_length_c 7.459
_cell_angle_alpha 90.00
_cell_angle_beta 98.24
_cell_angle_gamma 90.00
loop_
_atom_site_label
_atom_site_type_symbol
_atom_site_fract_x
_atom_site_fract_y
_atom_site_fract_z
Ce1 Ce 0.175 0.250 0.146
Pr1 Pr 0.203 0.250 0.673
Zn1 Zn 0.408 0.750 0.401
N1 N 0.135 0.750 0.362
N2 N 0.137 0.750 0.919
N3 N 0.480 0.750 0.689
```


Entry 6:
## Re2RuPbSe (PBE-GGA)

Data for a relaxed Re2RuPbSe crystal.

Summary:
Its crystal system is tetragonal. Its density is 9004 kg/m³. Its raw formation energy is 3181.5 meV/atom. As for the magnetic moment: 8.701 μB per formula unit. The value obtained for the density of states at the Fermi level is 6.7 states/eV/f.u.

Structure (CIF):
```
data_Re2RuPbSe
_chemical_formula_sum 'Re2 Ru1 Pb1 Se1'
_space_group_name_H-M_alt 'P 4/m m m'
_space_group_IT_number 123
_space_group_name_Hall '-P 4 2'
_cell_length_a 5.146
_cell_length_b 5.146
_cell_length_c 5.290
_cell_angle_alpha 90.00
_cell_angle_beta 90.00
_cell_angle_gamma 90.00
loop_
_atom_site_label
_atom_site_type_symbol
_atom_site_fract_x
_atom_site_fract_y
_atom_site_fract_z
Re1 Re 0.000 0.500 0.000
Ru1 Ru 0.000 0.000 0.500
Pb1 Pb 0.500 0.500 0.000
Se1 Se 0.500 0.500 0.500
```


Entry 7:
## RbCaAgBr4 (PBE-GGA)

Data for a relaxed RbCaAgBr4 crystal.

Summary:
Its crystal system is monoclinic. Its density is 3787 kg/m³. Its raw formation energy is -1447.2 meV/atom. As for the magnetic moment: 0.000 μB per formula unit. The value obtained for the density of states at the Fermi level is 0.0 states/eV/f.u.

Structure (CIF):
```
data_RbCaAgBr4
_chemical_formula_sum 'Rb2 Ca2 Ag2 Br8'
_space_group_name_H-M_alt 'P 1 21/m 1'
_space_group_IT_number 11
_space_group_name_Hall '-P 2yb'
_cell_length_a 7.303
_cell_length_b 7.548
_cell_length_c 8.811
_cell_angle_alpha 90.00
_cell_angle_beta 93.05
_cell_angle_gamma 90.00
loop_
_atom_site_label
_atom_site_type_symbol
_atom_site_fract_x
_atom_site_fract_y
_atom_site_fract_z
Rb1 Rb 0.227 0.250 0.056
Ca1 Ca 0.181 0.750 0.450
Ag1 Ag 0.339 0.250 0.659
Br1 Br 0.075 0.504 0.706
Br2 Br 0.358 0.750 0.154
Br3 Br 0.471 0.250 0.385
```


Entry 8:
## La2ZnCo (PBE-GGA)

Data for a relaxed La2ZnCo crystal.

Summary:
Its crystal system is orthorhombic. Its density is 6547 kg/m³. As for the magnetic moment: 0.000 μB per formula unit. The value obtained for the total energy is -4.7498 eV/atom. The value obtained for the density of states at the Fermi level is 2.8 states/eV/f.u.

Structure (CIF):
```
data_La2ZnCo
_chemical_formula_sum 'La8 Zn4 Co4'
_space_group_name_H-M_alt 'C m c m'
_space_group_IT_number 63
_space_group_name_Hall '-C 2c 2'
_cell_length_a 3.858
_cell_length_b 14.541
_cell_length_c 7.273
_cell_angle_alpha 90.00
_cell_angle_beta 90.00
_cell_angle_gamma 90.00
loop_
_atom_site_label
_atom_site_type_symbol
_atom_site_fract_x
_atom_site_fract_y
_atom_site_fract_z
La1 La 0.000 0.139 0.001
Zn1 Zn 0.000 0.489 0.750
Co1 Co 0.000 0.314 0.750
```


Entry 9:
## NpInBi2 (PBE-GGA)

Data for a relaxed NpInBi2 crystal.

Summary:
Its crystal system is trigonal. Its density is 9518 kg/m³. As for the magnetic moment: 4.057 μB per formula unit. The value obtained for the total energy is -5.6452 eV/atom. The value obtained for the density of states at the Fermi level is 12.4 states/eV/f.u.

Structure (CIF):
```
data_NpInBi2
_chemical_formula_sum 'Np3 In3 Bi6'
_space_group_name_H-M_alt 'R 3 m'
_space_group_IT_number 160
_space_group_name_Hall 'R 3 -2"'
_cell_length_a 4.8190
_cell_length_b 4.8190
_cell_length_c 20.0330
_cell_angle_alpha 90.00
_cell_angle_beta 90.00
_cell_angle_gamma 120.00
loop_
_atom_site_label
_atom_site_type_symbol
_atom_site_fract_x
_atom_site_fract_y
_atom_site_fract_z
Np1 Np 0.0000 0.0000 0.0000
In1 In 0.0000 0.0000 0.8301
Bi1 Bi 0.0000 0.0000 0.4127
Bi2 Bi 0.0000 0.0000 0.5923
```


Entry 10:
## BaSbO (PBE-GGA)

Data for a relaxed BaSbO crystal.

Summary:
Its crystal system is orthorhombic. Its density is 4461 kg/m³. Its raw formation energy is -1094.6 meV/atom. As for the magnetic moment: 0.000 μB per formula unit. The value obtained for the density of states at the Fermi level is 0.4 states/eV/f.u.

Structure (CIF):
```
data_BaSbO
_chemical_formula_sum 'Ba4 Sb4 O4'
_space_group_name_H-M_alt 'I m m m'
_space_group_IT_number 71
_space_group_name_Hall '-I 2 2'
_cell_length_a 5.413
_cell_length_b 6.707
_cell_length_c 11.281
_cell_angle_alpha 90.00
_cell_angle_beta 90.00
_cell_angle_gamma 90.00
loop_
_atom_site_label
_atom_site_type_symbol
_atom_site_fract_x
_atom_site_fract_y
_atom_site_fract_z
Ba1 Ba 0.000 0.000 0.162
Sb1 Sb 0.000 0.252 0.500
O1 O 0.000 0.000 0.384
```


Entry 11:
## LiBeRh4 (PBE-GGA)

Data for a relaxed LiBeRh4 crystal.

Summary:
Its crystal system is cubic. Its density is 7729 kg/m³. As for the magnetic moment: 0.519 μB per formula unit. The value obtained for the total energy is -5.5419 eV/atom. The value obtained for the density of states at the Fermi level is 9.3 states/eV/f.u.

Structure (CIF):
```
data_LiBeRh4
_chemical_formula_sum 'Li4 Be4 Rh16'
_space_group_name_H-M_alt 'F -4 3 m'
_space_group_IT_number 216
_space_group_name_Hall 'F -4 2 3'
_cell_length_a 7.163
_cell_length_b 7.163
_cell_length_c 7.163
_cell_angle_alpha 90.00
_cell_angle_beta 90.00
_cell_angle_gamma 90.00
loop_
_atom_site_label
_atom_site_type_symbol
_atom_site_fract_x
_atom_site_fract_y
_atom_site_fract_z
Li1 Li 0.000 0.000 0.000
Be1 Be 0.250 0.250 0.250
Rh1 Rh 0.125 0.125 0.625
```


Entry 12:
## YFeAs3 (PBE-GGA)

Data for a relaxed YFeAs3 crystal.

Summary:
Its crystal system is cubic. Its density is 4028 kg/m³. As for the magnetic moment: 0.272 μB per formula unit. The value obtained for the total energy is -4.4943 eV/atom. The value obtained for the density of states at the Fermi level is 15.4 states/eV/f.u.

Structure (CIF):
```
data_YFeAs3
_chemical_formula_sum 'Y1 Fe1 As3'
_space_group_name_H-M_alt 'P m -3 m'
_space_group_IT_number 221
_space_group_name_Hall '-P 4 2 3'
_cell_length_a 5.341
_cell_length_b 5.341
_cell_length_c 5.341
_cell_angle_alpha 90.00
_cell_angle_beta 90.00
_cell_angle_gamma 90.00
loop_
_atom_site_label
_atom_site_type_symbol
_atom_site_fract_x
_atom_site_fract_y
_atom_site_fract_z
Y1 Y 0.000 0.000 0.000
Fe1 Fe 0.500 0.500 0.500
As1 As 0.000 0.000 0.500
```


Entry 13:
## BaCd4AgPt2 (PBE-GGA)

Data for a relaxed BaCd4AgPt2 crystal.

Summary:
Its crystal system is trigonal. Its density is 9591 kg/m³. As for the magnetic moment: 0.000 μB per formula unit. The value obtained for the total energy is -2.8237 eV/atom. The value obtained for the density of states at the Fermi level is 4.8 states/eV/f.u.

Structure (CIF):
```
data_BaCd4AgPt2
_chemical_formula_sum 'Ba3 Cd12 Ag3 Pt6'
_space_group_name_H-M_alt 'R -3 m'
_space_group_IT_number 166
_space_group_name_Hall '-R 3 2"'
_cell_length_a 4.6910
_cell_length_b 4.6910
_cell_length_c 29.5733
_cell_angle_alpha 90.00
_cell_angle_beta 90.00
_cell_angle_gamma 120.00
loop_
_atom_site_label
_atom_site_type_symbol
_atom_site_fract_x
_atom_site_fract_y
_atom_site_fract_z
Ba1 Ba 0.0000 0.0000 0.0000
Cd1 Cd 0.0000 0.0000 0.1319
Cd2 Cd 0.0000 0.0000 0.4062
Ag1 Ag 0.0000 0.0000 0.5000
Pt1 Pt 0.0000 0.0000 0.2326
```